Record 1
DFT (SCAN) results for a crystal of FeTe2Pt relaxed with PBEsol.

```
FeTe2Pt
1.0
3.411 0.000 0.000
0.000 3.356 0.000
-0.086 0.000 6.541
Fe Te Pt
1 2 1
direct
0.000 0.000 0.000
0.414 0.500 0.762
0.586 0.500 0.238
0.000 0.000 0.500
```

Output
Electronic total energy, eV per atom: -40.410
N(E_F), states/eV per atom: 0.68
Calculated volume, Å³/cell: 74.9

***

Record 2
DFT (SCAN) results for a crystal of TlFePt relaxed with PBEsol.

```
TlFePt
1.0
0.000 3.068 3.068
3.068 0.000 3.068
3.068 3.068 0.000
Tl Fe Pt
1 1 1
direct
0.000 0.000 0.000
0.500 0.500 0.500
0.250 0.250 0.250
```

Output
Electronic total energy, eV per atom: -53.466
N(E_F), states/eV per atom: 0.84
Calculated volume, Å³/cell: 57.8
ΔE_f, eV/atom: 0.095

***

Record 3
DFT (SCAN) results for a crystal of TlFePt2 relaxed with PBEsol.

```
TlFePt2
1.0
3.301 0.000 0.000
0.000 3.301 0.000
0.000 0.000 5.910
Tl Fe Pt
1 1 2
direct
0.000 0.000 0.000
0.500 0.500 0.290
0.000 0.000 0.473
0.500 0.500 0.737
```

Output
Electronic total energy, eV per atom: -57.629
N(E_F), states/eV per atom: 0.62
Calculated volume, Å³/cell: 64.4
ΔE_f, eV/atom: 0.089

***

Record 4
DFT (SCAN) results for a crystal of TlFePt2 relaxed with PBEsol.

```
TlFePt2
1.0
-1.999 1.999 3.936
1.999 -1.999 3.936
1.999 1.999 -3.936
Tl Fe Pt
1 1 2
direct
0.000 0.000 0.000
0.500 0.500 0.000
0.250 0.750 0.500
0.750 0.250 0.500
```

Output
Electronic total energy, eV per atom: -57.749
N(E_F), states/eV per atom: 0.38
Calculated volume, Å³/cell: 62.9
ΔE_f, eV/atom: -0.030